Entry 1:
Below is an optimized crystal structure of NdScCoGe2, with properties calculated at the GGA-PBE level.

The structure belongs to space group I-4m2 (No. 119); the cell edges are 4.1255, 4.1255 and 11.4414 Å and the angles 90.00°, 90.00° and 90.00°. The inequivalent atoms are Nd at (0.0000, 0.0000, 0.0000), Sc at (0.0000, 0.5000, 0.7500), Co at (0.0000, 0.5000, 0.2500) and Ge at (0.0000, 0.0000, 0.3884).

The final energy is -6.125 eV/atom. For the total moment, the calculation gives 0.00 μB per cell. For the calculated formation energy, the calculation gives -3.185 eV/f.u.

***

Entry 2:
Below is an optimized crystal structure of NdTmCo2Ge2, with properties calculated at the GGA-PBE level.

The structure belongs to space group P-3m1 (No. 164); the cell edges are 4.2222, 4.2222 and 7.1975 Å and the angles 90.00°, 90.00° and 120.00°. The inequivalent atoms are Nd at (0.0000, 0.0000, 0.0000), Tm at (0.0000, 0.0000, 0.5000), Co at (0.3333, 0.6667, 0.7100) and Ge at (0.3333, 0.6667, 0.2753).

The final energy is -6.032 eV/atom. For the total moment, the calculation gives 0.00 μB per cell. For the calculated formation energy, the calculation gives -3.508 eV/f.u.

***

Entry 3:
Below is an optimized crystal structure of Nd2ZnCo3Ge4, with properties calculated at the GGA-PBE level.

The structure belongs to space group P-4m2 (No. 115); the cell edges are 4.1620, 4.1620 and 9.9314 Å and the angles 90.00°, 90.00° and 90.00°. The inequivalent atoms are Nd at (0.0000, 0.5000, 0.2411), Zn at (0.0000, 0.0000, 0.5000), Co at (0.0000, 0.5000, 0.8817), Co at (0.5000, 0.5000, 0.5000), Ge at (0.0000, 0.0000, 0.0000), Ge at (0.0000, 0.5000, 0.6448) and Ge at (0.5000, 0.5000, 0.0000).

The final energy is -5.583 eV/atom. For the total moment, the calculation gives 0.80 μB per cell. For the calculated formation energy, the calculation gives -5.238 eV/f.u.

***

Entry 4:
Below is an optimized crystal structure of CoNiGe, with properties calculated at the GGA-PBE level.

The structure belongs to space group P6_3/mmc (No. 194); the cell edges are 3.9962, 3.9962 and 5.0912 Å and the angles 90.00°, 90.00° and 120.00°. The inequivalent atoms are Co at (0.0000, 0.0000, 0.0000), Ni at (0.3333, 0.6667, 0.2500) and Ge at (0.3333, 0.6667, 0.7500).

The final energy is -6.018 eV/atom. For the total moment, the calculation gives 0.50 μB per cell. For the calculated formation energy, the calculation gives -0.551 eV/f.u.

***

Entry 5:
Below is an optimized crystal structure of Co7NiGe4, with properties calculated at the GGA-PBE level.

The structure belongs to space group P-1 (No. 2); the cell edges are 4.5753, 5.0104 and 6.7163 Å and the angles 107.38°, 102.73° and 90.24°. The inequivalent atoms are Co at (0.0000, 0.0000, 0.0000), Co at (0.1931, 0.3784, 0.6343), Co at (0.2931, 0.9144, 0.3310), Co at (0.4869, 0.7391, 0.0035), Ni at (0.0000, 0.5000, 0.0000), Ge at (0.2103, 0.9133, 0.6858) and Ge at (0.2900, 0.4147, 0.3048).

The final energy is -6.225 eV/atom. For the total moment, the calculation gives 6.41 μB per cell. For the calculated formation energy, the calculation gives -0.707 eV/f.u.

***

Entry 6:
Below is an optimized crystal structure of CoNiGe, with properties calculated at the GGA-PBE level.

The structure belongs to space group P-62m (No. 189); the cell edges are 6.6633, 6.6633 and 2.7844 Å and the angles 90.00°, 90.00° and 120.00°. The inequivalent atoms are Co at (0.0000, 0.7071, 0.0000), Ni at (0.0000, 0.3720, 0.5000), Ge at (0.0000, 0.0000, 0.5000) and Ge at (0.3333, 0.6667, 0.0000).

The final energy is -6.002 eV/atom. For the total moment, the calculation gives 1.32 μB per cell. For the calculated formation energy, the calculation gives -0.502 eV/f.u.

***

Entry 7:
Below is an optimized crystal structure of CoNi12Ge3, with properties calculated at the GGA-PBE level.

The structure belongs to space group P4/mmm (No. 123); the cell edges are 3.5658, 3.5658 and 14.2509 Å and the angles 90.00°, 90.00° and 90.00°. The inequivalent atoms are Co at (0.0000, 0.0000, 0.0000), Ni at (0.0000, 0.5000, 0.1211), Ni at (0.0000, 0.5000, 0.3740), Ni at (0.5000, 0.5000, 0.0000), Ni at (0.5000, 0.5000, 0.2484), Ni at (0.5000, 0.5000, 0.5000), Ge at (0.0000, 0.0000, 0.2481) and Ge at (0.0000, 0.0000, 0.5000).

The final energy is -5.842 eV/atom. For the total moment, the calculation gives 4.93 μB per cell. For the calculated formation energy, the calculation gives -3.144 eV/f.u.

***

Entry 8:
Below is an optimized crystal structure of CoNiGe3, with properties calculated at the GGA-PBE level.

The structure belongs to space group Pm-3m (No. 221); the cell edges are 4.4678, 4.4678 and 4.4678 Å and the angles 90.00°, 90.00° and 90.00°. The inequivalent atoms are Co at (0.0000, 0.0000, 0.0000), Ni at (0.5000, 0.5000, 0.5000) and Ge at (0.0000, 0.0000, 0.5000).

The final energy is -4.888 eV/atom. For the total moment, the calculation gives 0.00 μB per cell. For the calculated formation energy, the calculation gives 2.299 eV/f.u.